Record 1
Computed, not measured: crystalline TmTiGa at its relaxed geometry at the PBE level of DFT.

Cell lengths 4.1536, 7.2578, 7.2578 Å; angles 120.00, 90.00, 90.00 degrees
Fractional coordinates of all 9 atoms:
Ga 0.5000 0.6667 0.3333
Ga 0.5000 0.3333 0.6667
Ga 0.0000 0.0000 0.0000
Tm 0.0000 0.5839 0.5839
Tm 0.0000 0.0000 0.4161
Tm 0.0000 0.4161 0.0000
Ti 0.5000 0.0000 0.7635
Ti 0.5000 0.7635 0.0000
Ti 0.5000 0.2365 0.2365

Results
The calculation puts the total magnetization at 0.558 μB/atom. As for the density of states at the Fermi level: 8.94 states/eV per cell. Its energy of formation is -0.35 eV per atom. The excess energy over the best structure of this formula in the dataset is 0.0667 eV/atom. The value obtained for the total energy is -0.2013 hartree per atom.

Record 2
Computed, not measured: crystalline ScSe3O9 at its relaxed geometry at the PBE level of DFT.

Cell lengths 7.7295, 7.7295, 7.6329 Å; angles 75.61, 75.61, 72.05 degrees
Fractional coordinates of all 26 atoms:
Sc 0.7432 0.2325 0.0469
Sc 0.2325 0.7432 0.5469
Se 0.7829 0.6684 0.7704
Se 0.6684 0.7829 0.2704
Se 0.9905 0.2164 0.3920
Se 0.2164 0.9905 0.8920
Se 0.2805 0.4754 0.2182
Se 0.4754 0.2805 0.7182
O 0.8118 0.4379 0.8226
O 0.4379 0.8118 0.3226
O 0.9941 0.7037 0.7299
O 0.7037 0.9941 0.2299
O 0.6614 0.7638 0.9571
O 0.7638 0.6614 0.4571
O 0.8904 0.2956 0.2056
O 0.2956 0.8904 0.7056
O 0.0652 0.9866 0.4040
O 0.9866 0.0652 0.9040
O 0.2326 0.2581 0.2655
O 0.2581 0.2326 0.7655
O 0.5111 0.4225 0.1785
O 0.4225 0.5111 0.6785
O 0.1964 0.5500 0.4176
O 0.5500 0.1964 0.9176
O 0.1815 0.6183 0.0528
O 0.6183 0.1815 0.5528

Results
The calculation puts the total magnetization at 0.000 μB/atom. The excess energy over the best structure of this formula in the dataset is 0.0000 eV/atom. Its uncorrected formation energy is -1154 meV/atom. The value obtained for the total energy is -0.2160 hartree per atom.

Record 3
Computed, not measured: crystalline Ca2ZrGa3Ir4 at its relaxed geometry at the PBE level of DFT.

Cell lengths 4.2310, 4.2310, 10.9220 Å; angles 90.00, 90.00, 90.00 degrees
Fractional coordinates of all 10 atoms:
Ca 0.5000 0.0000 0.2228
Ca 0.0000 0.5000 0.7772
Zr 0.5000 0.5000 0.5000
Ga 0.0000 0.0000 0.5000
Ga 0.5000 0.0000 0.8770
Ga 0.0000 0.5000 0.1230
Ir 0.5000 0.5000 0.0000
Ir 0.0000 0.0000 0.0000
Ir 0.5000 0.0000 0.6450
Ir 0.0000 0.5000 0.3550

Results
The calculation puts the total magnetization at 0.000 μB/atom. As for the density of states at the Fermi level: 7.81 states/eV per cell. Its energy of formation is -0.61 eV per atom. The value obtained for the total energy is -0.2323 hartree per atom.

Record 4
Computed, not measured: crystalline K9Rb2Na4 at its relaxed geometry at the PBE level of DFT.

Cell lengths 7.0869, 7.0869, 21.8713 Å; angles 90.00, 90.00, 120.00 degrees
Fractional coordinates of all 15 atoms:
K 0.0000 0.0000 0.3079
K 0.0000 0.0000 0.6921
K 0.0000 0.0000 0.8942
K 0.0000 0.0000 0.1058
K 0.3333 0.6667 0.5641
K 0.6667 0.3333 0.4359
K 0.6667 0.3333 0.0167
K 0.3333 0.6667 0.9833
K 0.0000 0.0000 0.5000
Rb 0.3333 0.6667 0.7731
Rb 0.6667 0.3333 0.2269
Na 0.3333 0.6667 0.3621
Na 0.6667 0.3333 0.6379
Na 0.6667 0.3333 0.8210
Na 0.3333 0.6667 0.1790

Results
The calculation puts the total magnetization at 0.000 μB/atom. As for the density of states at the Fermi level: 12.81 states/eV per cell. Its energy of formation is 0.03 eV per atom. The value obtained for the total energy is -0.0409 hartree per atom.

Record 5
Computed, not measured: crystalline BaFeOs at its relaxed geometry at the PBE level of DFT.

Cell lengths 7.6510, 4.1673, 9.5225 Å; angles 90.00, 90.00, 90.00 degrees
Fractional coordinates of all 12 atoms:
Os 0.1378 0.2500 0.4580
Os 0.3622 0.7500 0.9580
Os 0.8622 0.7500 0.5420
Os 0.6378 0.2500 0.0420
Ba 0.0023 0.2500 0.8056
Ba 0.4977 0.7500 0.3056
Ba 0.9977 0.7500 0.1944
Ba 0.5023 0.2500 0.6944
Fe 0.8325 0.2500 0.4478
Fe 0.6675 0.7500 0.9478
Fe 0.1675 0.7500 0.5522
Fe 0.3325 0.2500 0.0522

Results
The calculation puts the total magnetization at 0.349 μB/atom. As for the density of states at the Fermi level: 11.03 states/eV per cell. Its energy of formation is 0.60 eV per atom. The excess energy over the best structure of this formula in the dataset is 0.2504 eV/atom. The value obtained for the total energy is -0.2429 hartree per atom.

Record 6
Computed, not measured: crystalline Fe3Co3Si2 at its relaxed geometry at the PBE level of DFT.

Cell lengths 6.8839, 6.8839, 6.8839 Å; angles 33.50, 33.50, 33.50 degrees
Fractional coordinates of all 8 atoms:
Fe 0.6252 0.6252 0.6252
Fe 0.7493 0.7493 0.7493
Fe 0.2506 0.2506 0.2506
Co 0.3762 0.3762 0.3762
Co 0.8738 0.8738 0.8738
Co 0.1249 0.1249 0.1249
Si 0.9992 0.9992 0.9992
Si 0.5008 0.5008 0.5008

Results
The calculation puts the total magnetization at 1.335 μB/atom. As for the density of states at the Fermi level: 1.77 states/eV per cell. The excess energy over the best structure of this formula in the dataset is 0.0000 eV/atom. Its uncorrected formation energy is -373 meV/atom. The value obtained for the total energy is -0.2781 hartree per atom.

Record 7
Computed, not measured: crystalline Ti2Zn2Ga at its relaxed geometry at the PBE level of DFT.

Cell lengths 7.0827, 7.0827, 3.3973 Å; angles 90.00, 90.00, 90.00 degrees
Fractional coordinates of all 10 atoms:
Zn 0.1436 0.6436 0.5000
Zn 0.6436 0.8564 0.5000
Zn 0.8564 0.3564 0.5000
Zn 0.3564 0.1436 0.5000
Ga 0.0000 0.0000 0.0000
Ga 0.5000 0.5000 0.0000
Ti 0.3440 0.8440 0.0000
Ti 0.8440 0.6560 0.0000
Ti 0.6560 0.1560 0.0000
Ti 0.1560 0.3440 0.0000

Results
The calculation puts the total magnetization at 0.000 μB/atom. As for the density of states at the Fermi level: 6.00 states/eV per cell. Its energy of formation is 0.04 eV per atom. The excess energy over the best structure of this formula in the dataset is 0.2657 eV/atom. The value obtained for the total energy is -0.1556 hartree per atom.

Record 8
Computed, not measured: crystalline TbNd5Tl4 at its relaxed geometry at the PBE level of DFT.

Cell lengths 8.7919, 8.4303, 9.3521 Å; angles 90.00, 90.00, 90.00 degrees
Fractional coordinates of all 20 atoms:
Tb 0.9154 0.0000 0.0000
Tb 0.0846 0.5000 0.5000
Nd 0.2671 0.7604 0.8060
Nd 0.2671 0.2396 0.8060
Nd 0.6719 0.5000 0.0000
Nd 0.2671 0.7604 0.1940
Nd 0.2671 0.2396 0.1940
Nd 0.7329 0.7396 0.3060
Nd 0.7329 0.2604 0.3060
Nd 0.3281 0.0000 0.5000
Nd 0.7329 0.2604 0.6940
Nd 0.7329 0.7396 0.6940
Tl 0.9997 0.0000 0.6656
Tl 0.5641 0.8328 0.0000
Tl 0.5641 0.1672 0.0000
Tl 0.9997 0.0000 0.3344
Tl 0.0003 0.5000 0.1656
Tl 0.4359 0.6672 0.5000
Tl 0.4359 0.3328 0.5000
Tl 0.0003 0.5000 0.8344

Results
The calculation puts the total magnetization at 0.000 μB/atom. As for the density of states at the Fermi level: 18.65 states/eV per cell. Its energy of formation is -0.04 eV per atom. The excess energy over the best structure of this formula in the dataset is 0.2500 eV/atom. The value obtained for the total energy is -0.1410 hartree per atom.

Record 9
Computed, not measured: crystalline DyZrCu2 at its relaxed geometry at the PBE level of DFT.

Cell lengths 4.7659, 4.7659, 4.7659 Å; angles 60.00, 60.00, 60.00 degrees
Fractional coordinates of all 4 atoms:
Cu 0.2500 0.2500 0.2500
Cu 0.7500 0.7500 0.7500
Zr 0.5000 0.5000 0.5000
Dy 0.0000 0.0000 0.0000

Results
The calculation puts the total magnetization at 0.214 μB/atom. As for the density of states at the Fermi level: 4.65 states/eV per cell. Its energy of formation is -0.11 eV per atom. The excess energy over the best structure of this formula in the dataset is 0.0392 eV/atom. The value obtained for the total energy is -0.2001 hartree per atom.

Record 10
Computed, not measured: crystalline HfPd2Au2 at its relaxed geometry at the PBE level of DFT.

Cell lengths 6.9084, 6.9084, 3.8071 Å; angles 90.00, 90.00, 90.00 degrees
Fractional coordinates of all 10 atoms:
Hf 0.0000 0.0000 0.0000
Hf 0.5000 0.5000 0.0000
Au 0.1630 0.6630 0.5000
Au 0.6630 0.8370 0.5000
Au 0.8370 0.3370 0.5000
Au 0.3370 0.1630 0.5000
Pd 0.3628 0.8628 0.0000
Pd 0.8628 0.6372 0.0000
Pd 0.6372 0.1372 0.0000
Pd 0.1372 0.3628 0.0000

Results
The calculation puts the total magnetization at 0.000 μB/atom. As for the density of states at the Fermi level: 6.64 states/eV per cell. Its energy of formation is -0.32 eV per atom. The excess energy over the best structure of this formula in the dataset is 0.2696 eV/atom. The value obtained for the total energy is -0.2095 hartree per atom.